a | NdAuSe: relaxed, PBE-GGA.

Total magnetic moment = 0.00 μB/cell

abc: 4.2618 5.6038 6.6759
angles: 90.00 108.61 90.00
Last column: nearest neighbours and their distance in Å.
Atoms (fractional coordinates):
Se1 0.1952 0.2500 0.3903  4 Nd 2.91-3.03, 2 Au 2.97
Se2 0.8048 0.7500 0.6097  4 Nd 2.91-3.03, 2 Au 2.97
Nd1 0.8657 0.2500 0.7314  4 Se 2.91-3.03, 2 Au 2.99
Nd2 0.1343 0.7500 0.2686  4 Se 2.91-3.03, 2 Au 2.99
Au1 0.5318 0.2500 0.0635  2 Au 2.91, 2 Se 2.97, 2 Nd 2.99
Au2 0.4682 0.7500 0.9365  2 Au 2.91, 2 Se 2.97, 2 Nd 2.99

***

b | NdAuSe: relaxed, PBE-GGA.

Total magnetic moment = 0.00 μB/cell

abc: 4.9806 4.9806 4.9806
angles: 60.00 60.00 60.00
Last column: nearest neighbours and their distance in Å.
Atoms (fractional coordinates):
Au1 0.5000 0.5000 0.5000  4 Nd 3.05
Nd1 0.2500 0.2500 0.2500  4 Au 3.05, 4 Se 3.05
Se1 0.0000 0.0000 0.0000  4 Nd 3.05

***

What should be chosen as the least stable of them? Choose b.

***

a | Nd2Si2Au: relaxed, PBE-GGA.

Total magnetic moment = 0.00 μB/cell
DOS at the Fermi energy = 6.849 states/eV/cell

abc: 4.3482 5.9474 9.8917
angles: 83.37 77.30 68.56
Last column: nearest neighbours and their distance in Å.
Atoms (fractional coordinates):
Au1 0.4315 0.8180 0.3189  3 Si 2.51-2.61
Au2 0.5685 0.1820 0.6811  3 Si 2.51-2.61
Nd1 0.1035 0.6985 0.0946  6 Si 3.05-3.20, 2 Au 3.16
Nd2 0.2898 0.7663 0.6542  4 Au 3.18-3.24, 7 Si 3.24-3.29
Nd3 0.7102 0.2337 0.3458  4 Au 3.18-3.24, 7 Si 3.24-3.29
Nd4 0.8965 0.3015 0.9054  6 Si 3.05-3.20, 2 Au 3.16
Si1 0.0299 0.3505 0.5898  1 Si 2.35, 2 Au 2.51
Si2 0.9701 0.6495 0.4102  1 Si 2.35, 2 Au 2.51
Si3 0.6143 0.8776 0.8939  1 Si 2.50, 1 Au 2.61
Si4 0.3857 0.1224 0.1061  1 Si 2.50, 1 Au 2.61

***

b | Nd2Si2Au: relaxed, PBE-GGA.

Total magnetic moment = 0.00 μB/cell
DOS at the Fermi energy = 3.634 states/eV/cell

abc: 4.0586 4.2649 6.9018
angles: 108.00 90.00 90.00
Last column: nearest neighbours and their distance in Å.
Atoms (fractional coordinates):
Si1 0.5000 0.5041 0.0082  1 Si 2.50, 2 Au 2.54
Si2 0.5000 0.3140 0.6279  1 Si 2.50, 1 Au 2.68
Au1 0.5000 0.1095 0.2190  3 Si 2.54-2.68
Nd1 0.0000 0.9271 0.8541  8 Si 3.11-3.30, 2 Au 3.14, 1 Nd 3.15
Nd2 0.0000 0.6874 0.3749  4 Au 3.12, 1 Nd 3.15, 6 Si 3.15-3.38

***

What should be chosen as the least stable of them? Choose b.

***

a | Nd2SmAu: relaxed, PBE-GGA.

Total magnetic moment = 0.00 μB/cell
DOS at the Fermi energy = 6.005 states/eV/cell

abc: 3.7384 3.7384 8.6579
angles: 90.00 90.00 90.00
Last column: nearest neighbours and their distance in Å.
Atoms (fractional coordinates):
Au1 0.5000 0.5000 0.0000  8 Nd 3.20
Sm1 0.5000 0.5000 0.5000  8 Nd 3.65, 4 Sm 3.74
Nd1 0.0000 0.0000 0.2091  4 Au 3.20
Nd2 0.0000 0.0000 0.7909  4 Au 3.20

***

b | Nd2SmAu: relaxed, PBE-GGA.

Total magnetic moment = 0.00 μB/cell
DOS at the Fermi energy = 4.941 states/eV/cell

abc: 3.7133 5.5609 5.5609
angles: 90.00 90.00 90.00
Last column: nearest neighbours and their distance in Å.
Atoms (fractional coordinates):
Nd1 0.0000 0.0000 0.5000  4 Sm 3.34, 4 Au 3.34, 2 Nd 3.71
Nd2 0.0000 0.5000 0.0000  4 Sm 3.34, 4 Au 3.34, 2 Nd 3.71
Sm1 0.5000 0.5000 0.5000  8 Nd 3.34, 2 Sm 3.71
Au1 0.5000 0.0000 0.0000  8 Nd 3.34, 2 Au 3.71

***

c | Nd2SmAu: relaxed, PBE-GGA.

Total magnetic moment = 0.00 μB/cell
DOS at the Fermi energy = 16.746 states/eV/cell

abc: 6.7649 7.1826 10.2426
angles: 90.00 90.00 90.00
Last column: nearest neighbours and their distance in Å.
Atoms (fractional coordinates):
Nd1 0.3212 0.1942 0.0537  2 Au 3.04-3.06
Nd2 0.6788 0.8058 0.5537  2 Au 3.04-3.06
Nd3 0.1788 0.6942 0.4463  2 Au 3.04-3.06
Nd4 0.1788 0.6942 0.0537  2 Au 3.04-3.06
Nd5 0.6788 0.8058 0.9463  2 Au 3.04-3.06
Nd6 0.8212 0.3058 0.5537  2 Au 3.04-3.06
Nd7 0.3212 0.1942 0.4463  2 Au 3.04-3.06
Nd8 0.8212 0.3058 0.9463  2 Au 3.04-3.06
Au1 0.4416 0.8974 0.2500  2 Sm 3.00-3.04, 4 Nd 3.04-3.06
Au2 0.5584 0.1026 0.7500  2 Sm 3.00-3.04, 4 Nd 3.04-3.06
Au3 0.9416 0.6026 0.7500  2 Sm 3.00-3.04, 4 Nd 3.04-3.06
Au4 0.0584 0.3974 0.2500  2 Sm 3.00-3.04, 4 Nd 3.04-3.06
Sm1 0.6323 0.5144 0.2500  2 Au 3.00-3.04
Sm2 0.1323 0.9856 0.7500  2 Au 3.00-3.04
Sm3 0.3677 0.4856 0.7500  2 Au 3.00-3.04
Sm4 0.8677 0.0144 0.2500  2 Au 3.00-3.04

***

d | Nd2SmAu: relaxed, PBE-GGA.

Total magnetic moment = 0.00 μB/cell
DOS at the Fermi energy = 4.293 states/eV/cell

abc: 3.7626 3.7626 10.5722
angles: 79.75 79.75 60.00
Last column: nearest neighbours and their distance in Å.
Atoms (fractional coordinates):
Nd1 0.2622 0.2622 0.2133  3 Au 3.10
Nd2 0.7378 0.7378 0.7867  3 Au 3.10
Sm1 0.5000 0.5000 0.5000  6 Nd 3.68, 6 Sm 3.76
Au1 0.0000 0.0000 0.0000  6 Nd 3.10

***

What should be chosen as the least stable of them? Choose b.